[1]
A geometry-optimized Bi4O5F2 structure, computed with GGA-PBEsol.

Cell: 8.3896 8.6709 8.9755 Å, 90.00 90.00 90.00°
With the nearest neighbours (Å) after each atom.
Fractional positions:
O1 0.7500 0.1930 0.9309  3 Bi 2.18-2.28
O2 0.5602 0.1670 0.4869  2 Bi 2.17-2.19
O3 0.0615 0.5147 0.6736  2 Bi 2.17-2.21
O4 0.0602 0.3330 0.9869  2 Bi 2.17-2.19
O5 0.9398 0.6670 0.0131  2 Bi 2.17-2.19
O6 0.2500 0.8070 0.0691  3 Bi 2.18-2.28
O7 0.4398 0.3330 0.9869  2 Bi 2.17-2.19
O8 0.9385 0.4853 0.3264  2 Bi 2.17-2.21
O9 0.5602 0.6670 0.0131  2 Bi 2.17-2.19
O10 0.0602 0.8330 0.5131  2 Bi 2.17-2.19
O11 0.4385 0.5147 0.6736  2 Bi 2.17-2.21
O12 0.5615 0.4853 0.3264  2 Bi 2.17-2.21
O13 0.9398 0.1670 0.4869  2 Bi 2.17-2.19
O14 0.0615 0.0147 0.8264  2 Bi 2.17-2.21
O15 0.2500 0.3070 0.4309  3 Bi 2.18-2.28
O16 0.5615 0.9853 0.1736  2 Bi 2.17-2.21
O17 0.9385 0.9853 0.1736  2 Bi 2.17-2.21
O18 0.7500 0.6930 0.5691  3 Bi 2.18-2.28
O19 0.4385 0.0147 0.8264  2 Bi 2.17-2.21
O20 0.4398 0.8330 0.5131  2 Bi 2.17-2.19
F1 0.2500 0.7690 0.7486  3 Bi 2.44-2.55, 2 O 2.70
F2 0.2500 0.5163 0.1846  1 Bi 2.27
F3 0.7500 0.9837 0.6846  1 Bi 2.27
F4 0.7500 0.4837 0.8154  1 Bi 2.27
F5 0.7500 0.7310 0.2486  3 Bi 2.44-2.55, 2 O 2.70
F6 0.7500 0.2310 0.2514  3 Bi 2.44-2.55, 2 O 2.70
F7 0.2500 0.0163 0.3154  1 Bi 2.27
F8 0.2500 0.2690 0.7514  3 Bi 2.44-2.55, 2 O 2.70
Bi1 0.7500 0.9562 0.0110  3 O 2.17-2.18
Bi2 0.2500 0.0438 0.9890  3 O 2.17-2.18
Bi3 0.7500 0.5038 0.0674  2 O 2.19, 1 F 2.27
Bi4 0.5380 0.2461 0.7802  3 O 2.17-2.28
Bi5 0.2500 0.4962 0.9326  2 O 2.19, 1 F 2.27
Bi6 0.7500 0.0038 0.4326  2 O 2.19, 1 F 2.27
Bi7 0.2500 0.5438 0.5110  3 O 2.17-2.18
Bi8 0.9620 0.2461 0.7802  3 O 2.17-2.28
Bi9 0.0380 0.2539 0.2802  3 O 2.17-2.28
Bi10 0.4620 0.2539 0.2802  3 O 2.17-2.28
Bi11 0.5380 0.7461 0.7198  3 O 2.17-2.28
Bi12 0.4620 0.7539 0.2198  3 O 2.17-2.28
Bi13 0.9620 0.7461 0.7198  3 O 2.17-2.28
Bi14 0.7500 0.4562 0.4890  3 O 2.17-2.18
Bi15 0.0380 0.7539 0.2198  3 O 2.17-2.28
Bi16 0.2500 0.9962 0.5674  2 O 2.19, 1 F 2.27

Values from the calculation:
Calculated volume ... 14.8 Å³/atom
Formation energy (no corrections) ... -1.519 eV/atom
Offset from the most stable computed form ... 19 meV/atom
Total magnetization ... 0.000 μB/f.u.
Space-group type ... Pnma (62)

***

[2]
A geometry-optimized Bi19O27F3 structure, computed with GGA-PBEsol.

Cell: 10.3338 12.7729 12.7729 Å, 120.00 90.00 90.00°
With the nearest neighbours (Å) after each atom.
Fractional positions:
Bi1 0.5856 0.3831 0.8659  5 O 2.18-2.40
Bi2 0.7557 0.7735 0.7002  4 O 2.24-2.41
Bi3 0.9153 0.0735 0.7832  4 O 2.21-2.38
Bi4 0.4189 0.6082 0.1361  5 O 2.20-2.42
Bi5 0.5842 0.0704 0.7645  4 O 2.20-2.46
Bi6 0.9153 0.2168 0.2903  4 O 2.21-2.38
Bi7 0.0842 0.9296 0.2355  4 O 2.20-2.46
Bi8 0.7557 0.9267 0.2265  4 O 2.24-2.41
Bi9 0.9189 0.3918 0.8639  5 O 2.20-2.42
Bi10 0.5856 0.4828 0.6169  5 O 2.18-2.40
Bi11 0.4153 0.2903 0.0735  4 O 2.21-2.38
Bi12 0.2557 0.7002 0.9267  4 O 2.24-2.41
Bi13 0.6254 0.0000 0.0000  6 O 2.38-2.47
Bi14 0.4189 0.5280 0.3918  5 O 2.20-2.42
Bi15 0.1254 0.0000 0.0000  6 O 2.38-2.47
Bi16 0.2527 0.1363 0.5255  4 O 2.20-2.42
Bi17 0.0856 0.6169 0.1341  5 O 2.18-2.40
Bi18 0.5842 0.2355 0.3060  4 O 2.20-2.46
Bi19 0.2557 0.0733 0.7735  4 O 2.24-2.41
Bi20 0.9189 0.4720 0.6082  5 O 2.20-2.42
Bi21 0.4189 0.8639 0.4720  5 O 2.20-2.42
Bi22 0.9153 0.7097 0.9265  4 O 2.21-2.38
Bi23 0.2557 0.2265 0.2998  4 O 2.24-2.41
Bi24 0.0842 0.3060 0.0704  4 O 2.20-2.46
Bi25 0.0842 0.7645 0.6940  4 O 2.20-2.46
Bi26 0.7557 0.2998 0.0733  4 O 2.24-2.41
Bi27 0.4153 0.7832 0.7097  4 O 2.21-2.38
Bi28 0.7527 0.8637 0.4745  4 O 2.20-2.42
Bi29 0.7527 0.6109 0.1363  4 O 2.20-2.42
Bi30 0.2527 0.4745 0.6109  4 O 2.20-2.42
Bi31 0.0856 0.8659 0.4828  5 O 2.18-2.40
Bi32 0.9189 0.1361 0.5280  5 O 2.20-2.42
Bi33 0.5856 0.1341 0.5172  5 O 2.18-2.40
Bi34 0.5842 0.6940 0.9296  4 O 2.20-2.46
Bi35 0.0856 0.5172 0.3831  5 O 2.18-2.40
Bi36 0.2527 0.3891 0.8637  4 O 2.20-2.42
Bi37 0.4153 0.9265 0.2168  4 O 2.21-2.38
Bi38 0.7527 0.5255 0.3891  4 O 2.20-2.42
O1 0.2426 0.8265 0.8365  4 Bi 2.27-2.47
O2 0.5844 0.9399 0.3934  2 Bi 2.18-2.42
O3 0.2426 0.1635 0.9900  4 Bi 2.27-2.47
O4 0.5864 0.8778 0.6041  3 Bi 2.28-2.36
O5 0.7426 0.9900 0.8265  4 Bi 2.27-2.47
O6 0.5867 0.8101 0.8235  4 Bi 2.21-2.46
O7 0.9237 0.9403 0.4011  3 Bi 2.20-2.42
O8 0.0867 0.9866 0.8101  4 Bi 2.21-2.46
O9 0.5864 0.3959 0.2738  3 Bi 2.28-2.36
O10 0.7483 0.5370 0.9398  3 Bi 2.20-2.39
O11 0.5844 0.6066 0.5466  2 Bi 2.18-2.42
O12 0.7483 0.0602 0.5972  3 Bi 2.20-2.39
O13 0.9255 0.8177 0.8257  3 Bi 2.20-2.31
O14 0.9255 0.1743 0.9919  3 Bi 2.20-2.31
O15 0.7597 0.2733 0.8794  3 Bi 2.31-2.34
O16 0.0844 0.5466 0.9399  2 Bi 2.18-2.42
O17 0.4237 0.0597 0.5989  3 Bi 2.20-2.42
O18 0.4103 0.2696 0.8778  3 Bi 2.30-2.38
O19 0.2483 0.4630 0.0602  3 Bi 2.20-2.39
O20 0.7426 0.1735 0.1635  4 Bi 2.27-2.47
O21 0.0864 0.1222 0.3959  3 Bi 2.28-2.36
O22 0.4237 0.5392 0.9403  3 Bi 2.20-2.42
O23 0.0844 0.0601 0.6066  2 Bi 2.18-2.42
O24 0.7597 0.6061 0.7267  3 Bi 2.31-2.34
O25 0.0864 0.2738 0.8778  3 Bi 2.28-2.36
O26 0.9103 0.8778 0.6083  3 Bi 2.30-2.38
O27 0.2597 0.8794 0.6061  3 Bi 2.31-2.34
O28 0.4255 0.1823 0.1743  3 Bi 2.20-2.31
O29 0.7426 0.8365 0.0100  4 Bi 2.27-2.47
O30 0.2426 0.0100 0.1735  4 Bi 2.27-2.47
O31 0.5867 0.0134 0.1899  4 Bi 2.21-2.46
O32 0.9237 0.4608 0.0597  3 Bi 2.20-2.42
O33 0.9237 0.5989 0.5392  3 Bi 2.20-2.42
O34 0.5864 0.7262 0.1222  3 Bi 2.28-2.36
O35 0.4255 0.8257 0.0081  3 Bi 2.20-2.31
O36 0.9255 0.0081 0.1823  3 Bi 2.20-2.31
O37 0.9103 0.7304 0.1222  3 Bi 2.30-2.38
O38 0.0864 0.6041 0.7262  3 Bi 2.28-2.36
O39 0.0867 0.1899 0.1765  4 Bi 2.21-2.46
O40 0.2483 0.5972 0.5370  3 Bi 2.20-2.39
O41 0.2597 0.7267 0.1206  3 Bi 2.31-2.34
O42 0.0844 0.3934 0.4534  2 Bi 2.18-2.42
O43 0.7597 0.1206 0.3939  3 Bi 2.31-2.34
O44 0.4103 0.1222 0.3917  3 Bi 2.30-2.38
O45 0.2483 0.9398 0.4028  3 Bi 2.20-2.39
O46 0.5844 0.4534 0.0601  2 Bi 2.18-2.42
O47 0.7483 0.4028 0.4630  3 Bi 2.20-2.39
O48 0.4255 0.9919 0.8177  3 Bi 2.20-2.31
O49 0.2597 0.3939 0.2733  3 Bi 2.31-2.34
O50 0.0867 0.8235 0.0134  4 Bi 2.21-2.46
O51 0.9103 0.3917 0.2696  3 Bi 2.30-2.38
O52 0.4237 0.4011 0.4608  3 Bi 2.20-2.42
O53 0.4103 0.6083 0.7304  3 Bi 2.30-2.38
O54 0.5867 0.1765 0.9866  4 Bi 2.21-2.46
F1 0.5880 0.6667 0.3333  6 Bi 2.82-2.84, 3 O 3.15
F2 0.4153 0.3333 0.6667  6 Bi 2.81-2.89
F3 0.2534 0.6667 0.3333  6 Bi 2.82-2.88, 3 O 3.14
F4 0.9153 0.6667 0.3333  6 Bi 2.81-2.89
F5 0.7534 0.3333 0.6667  6 Bi 2.82-2.88, 3 O 3.14
F6 0.0880 0.3333 0.6667  6 Bi 2.82-2.84, 3 O 3.15

Values from the calculation:
Calculated volume ... 14.9 Å³/atom
Formation energy (no corrections) ... -1.334 eV/atom
Total magnetization ... 0.000 μB/f.u.
Space-group type ... P6_3 (173)

***

[3]
A geometry-optimized BiOF structure, computed with GGA-PBEsol.

Cell: 5.7074 11.3397 11.4561 Å, 90.00 90.00 90.00°
With the nearest neighbours (Å) after each atom.
Fractional positions:
O1 0.0281 0.9886 0.6174  3 Bi 2.22-2.35
O2 0.9926 0.7512 0.6280  3 Bi 2.27-2.30
O3 0.9719 0.5114 0.1174  3 Bi 2.22-2.35
O4 0.0074 0.2488 0.3720  3 Bi 2.27-2.30
O5 0.4926 0.7488 0.6280  3 Bi 2.27-2.30
O6 0.0281 0.4886 0.8826  3 Bi 2.22-2.35
O7 0.5074 0.2512 0.3720  3 Bi 2.27-2.30
O8 0.4719 0.4886 0.3826  3 Bi 2.22-2.35
O9 0.9719 0.0114 0.3826  3 Bi 2.22-2.35
O10 0.0074 0.7488 0.1280  3 Bi 2.27-2.30
O11 0.4926 0.2488 0.8720  3 Bi 2.27-2.30
O12 0.5281 0.5114 0.6174  3 Bi 2.22-2.35
O13 0.9926 0.2512 0.8720  3 Bi 2.27-2.30
O14 0.4719 0.9886 0.1174  3 Bi 2.22-2.35
O15 0.5281 0.0114 0.8826  3 Bi 2.22-2.35
O16 0.5074 0.7512 0.1280  3 Bi 2.27-2.30
F1 0.5157 0.4960 0.8737  3 Bi 2.43-2.60
F2 0.9843 0.4960 0.3737  3 Bi 2.43-2.60
F3 0.4746 0.2485 0.1250  2 Bi 2.38-2.48
F4 0.0254 0.7485 0.8750  2 Bi 2.38-2.48
F5 0.4746 0.7485 0.3750  2 Bi 2.38-2.48
F6 0.5254 0.2515 0.6250  2 Bi 2.38-2.48
F7 0.9746 0.7515 0.3750  2 Bi 2.38-2.48
F8 0.5254 0.7515 0.8750  2 Bi 2.38-2.48
F9 0.9843 0.9960 0.1263  3 Bi 2.43-2.60
F10 0.0254 0.2485 0.6250  2 Bi 2.38-2.48
F11 0.4843 0.5040 0.1263  3 Bi 2.43-2.60
F12 0.0157 0.5040 0.6263  3 Bi 2.43-2.60
F13 0.4843 0.0040 0.3737  3 Bi 2.43-2.60
F14 0.5157 0.9960 0.6263  3 Bi 2.43-2.60
F15 0.0157 0.0040 0.8737  3 Bi 2.43-2.60
F16 0.9746 0.2515 0.1250  2 Bi 2.38-2.48
Bi1 0.7126 0.3794 0.4892  3 O 2.22-2.35, 2 F 2.38-2.43
Bi2 0.2429 0.8681 0.7298  3 O 2.24-2.28, 2 F 2.44-2.48
Bi3 0.7571 0.6319 0.2298  3 O 2.24-2.28, 2 F 2.44-2.48
Bi4 0.7429 0.6319 0.7298  3 O 2.24-2.28, 2 F 2.44-2.48
Bi5 0.2429 0.3681 0.7702  3 O 2.24-2.28, 2 F 2.44-2.48
Bi6 0.7571 0.1319 0.2702  3 O 2.24-2.28, 2 F 2.44-2.48
Bi7 0.7874 0.3794 0.9892  3 O 2.22-2.35, 2 F 2.38-2.43
Bi8 0.2874 0.6206 0.5108  3 O 2.22-2.35, 2 F 2.38-2.43
Bi9 0.2874 0.1206 0.9892  3 O 2.22-2.35, 2 F 2.38-2.43
Bi10 0.2571 0.8681 0.2298  3 O 2.24-2.28, 2 F 2.44-2.48
Bi11 0.7429 0.1319 0.7702  3 O 2.24-2.28, 2 F 2.44-2.48
Bi12 0.2126 0.6206 0.0108  3 O 2.22-2.35, 2 F 2.38-2.43
Bi13 0.2126 0.1206 0.4892  3 O 2.22-2.35, 2 F 2.38-2.43
Bi14 0.2571 0.3681 0.2702  3 O 2.24-2.28, 2 F 2.44-2.48
Bi15 0.7874 0.8794 0.5108  3 O 2.22-2.35, 2 F 2.38-2.43
Bi16 0.7126 0.8794 0.0108  3 O 2.22-2.35, 2 F 2.38-2.43

Values from the calculation:
Calculated volume ... 15.4 Å³/atom
Formation energy (no corrections) ... -1.830 eV/atom
Total magnetization ... 0.000 μB/f.u.
Space-group type ... Pbca (61)

***

Q: Look up the formation energy (no corrections) of the second one.
A: -1.334 eV/atom